Entry 1:
First-principles (PBE-GGA) data for a geometry-optimized Na2LiZn3Ag12 structure, as listed in the Alexandria database.

Lattice parameters (Å, degrees): 9.2836 9.2836 13.7238 90.00 90.00 120.00
Space group R-3m (No. 166, hexagonal axes)
Unique sites:
Na (0.0000, 0.0000, 0.1136) x6
Li (0.0000, 0.0000, 0.5000) x3
Zn (0.0000, 0.5000, 0.0000) x9
Ag (0.0057, 0.5028, 0.1991) x18
Ag (0.0419, 0.5210, 0.4007) x18

Calculated values
* M_tot: 0.00 μB per formula unit
* calculated formation energy: 0.063 eV/atom
* DOS at the Fermi energy: 0.39 states/eV per atom
* V: 18.97 Å³ per atom


Entry 2:
First-principles (PBE-GGA) data for a geometry-optimized Ca2ZnNi3Ge4 structure, as listed in the Alexandria database.

Lattice parameters (Å, degrees): 4.1317 4.1317 10.0395 90.00 90.00 90.00
Space group P-4m2 (No. 115)
Unique sites:
Ca (0.0000, 0.5000, 0.2474) x2
Zn (0.0000, 0.0000, 0.5000) x1
Ni (0.0000, 0.5000, 0.8773) x2
Ni (0.5000, 0.5000, 0.5000) x1
Ge (0.0000, 0.0000, 0.0000) x1
Ge (0.0000, 0.5000, 0.6418) x2
Ge (0.5000, 0.5000, 0.0000) x1

Calculated values
* M_tot: 0.00 μB per formula unit
* calculated formation energy: -0.482 eV/atom
* DOS at the Fermi energy: 0.42 states/eV per atom
* V: 17.14 Å³ per atom


Entry 3:
First-principles (PBE-GGA) data for a geometry-optimized AlTcNO2 structure, as listed in the Alexandria database.

Lattice parameters (Å, degrees): 3.8696 3.8696 3.9695 90.00 90.00 90.00
Space group P4/mmm (No. 123)
Unique sites:
Al (0.0000, 0.0000, 0.0000) x1
Tc (0.5000, 0.5000, 0.5000) x1
N (0.5000, 0.5000, 0.0000) x1
O (0.0000, 0.5000, 0.5000) x2

Calculated values
* M_tot: 0.00 μB per formula unit
* DOS at the Fermi energy: 0.36 states/eV per atom
* V: 11.89 Å³ per atom
* uncorrected formation energy: -406 meV/atom


Entry 4:
First-principles (PBE-GGA) data for a geometry-optimized KCo2Cu structure, as listed in the Alexandria database.

Lattice parameters (Å, degrees): 4.5551 4.5551 6.3162 90.00 90.00 90.00
Space group I-4m2 (No. 119)
Unique sites:
K (0.0000, 0.0000, 0.0000) x2
Co (0.0000, 0.0000, 0.5000) x2
Co (0.0000, 0.5000, 0.2500) x2
Cu (0.0000, 0.5000, 0.7500) x2

Calculated values
* M_tot: 3.29 μB per formula unit
* calculated formation energy: 1.184 eV/atom
* DOS at the Fermi energy: 1.26 states/eV per atom
* V: 16.38 Å³ per atom


Entry 5:
First-principles (PBE-GGA) data for a geometry-optimized CePm2PrIn4 structure, as listed in the Alexandria database.

Lattice parameters (Å, degrees): 5.4699 5.4699 26.8333 90.00 90.00 120.00
Space group R-3m (No. 166, hexagonal axes)
Unique sites:
Ce (0.0000, 0.0000, 0.0000) x3
Pm (0.0000, 0.0000, 0.2499) x6
Pr (0.0000, 0.0000, 0.5000) x3
In (0.0000, 0.0000, 0.1247) x6
In (0.0000, 0.0000, 0.3747) x6

Calculated values
* M_tot: 1.00 μB per formula unit
* calculated formation energy: -0.448 eV/atom
* DOS at the Fermi energy: 1.23 states/eV per atom
* V: 28.97 Å³ per atom


Entry 6:
First-principles (PBE-GGA) data for a geometry-optimized BeTe2I structure, as listed in the Alexandria database.

Lattice parameters (Å, degrees): 7.0857 7.0857 10.1365 90.00 90.00 90.00
Space group I-42d (No. 122)
Unique sites:
Be (0.0000, 0.0000, 0.0000) x4
Te (0.1468, 0.2500, 0.1250) x8
I (0.0000, 0.0000, 0.5000) x4

Calculated values
* M_tot: 0.00 μB per formula unit
* DOS at the Fermi energy: 1.11 states/eV per atom
* V: 31.81 Å³ per atom
* uncorrected formation energy: 192 meV/atom